[1]
Compound: K3Th3PdSe8
Source: the Alexandria database
Functional: PBE-GGA
Structure: relaxed

Cell: 8.6745 8.4474 9.0932 Å, 116.59 90.00 120.89°
Fractional positions:
Se  0.2123  0.4246  0.6816
Se  0.2856  0.0385  0.2901
Se  0.7877  0.5754  0.3184
Se  0.7528  0.0385  0.2901
Se  0.7394  0.4787  0.7161
Se  0.2472  0.9615  0.7099
Se  0.2606  0.5213  0.2839
Se  0.7144  0.9615  0.7099
Th  0.0000  0.5000  0.5000
Th  0.5000  0.5000  0.5000
Th  0.5000  0.0000  0.5000
K  0.0000  0.5000  0.0000
K  0.5000  0.5000  0.0000
K  0.0000  0.0000  0.0000
Pd  0.0000  0.0000  0.5000

## Properties
electronic total energy = -5.30 eV/atom
density of states at the Fermi level = 4.68 states/eV per cell
volume = 488 Å³/f.u.


[2]
Compound: KThPdSe3
Source: the Alexandria database
Functional: PBE-GGA
Structure: relaxed

Cell: 4.2975 9.0530 9.7467 Å, 107.90 90.00 90.00°
Fractional positions:
Se  0.7500  0.4611  0.1556
Se  0.7500  0.8926  0.1349
Se  0.2500  0.5389  0.8444
Se  0.7500  0.2089  0.5209
Se  0.2500  0.7911  0.4791
Se  0.2500  0.1074  0.8651
Th  0.7500  0.3068  0.8349
Th  0.2500  0.6932  0.1651
Pd  0.7500  0.9064  0.4245
Pd  0.2500  0.0936  0.5755
K  0.2500  0.2030  0.2379
K  0.7500  0.7970  0.7621

## Properties
electronic total energy = -5.32 eV/atom
density of states at the Fermi level = 4.46 states/eV per cell
volume = 180 Å³/f.u.


[3]
Compound: KTiPdSe3
Source: the Alexandria database
Functional: PBE-GGA
Structure: relaxed

Cell: 3.7588 8.4908 9.7952 Å, 111.87 90.00 90.00°
Fractional positions:
Ti  0.7500  0.3094  0.8343
Ti  0.2500  0.6906  0.1657
Se  0.7500  0.4588  0.1286
Se  0.2500  0.5412  0.8714
Se  0.2500  0.1175  0.8663
Se  0.7500  0.2705  0.5650
Se  0.2500  0.7295  0.4350
Se  0.7500  0.8825  0.1337
Pd  0.7500  0.9012  0.4001
Pd  0.2500  0.0988  0.5999
K  0.2500  0.2324  0.2615
K  0.7500  0.7676  0.7385

## Properties
electronic total energy = -5.07 eV/atom
density of states at the Fermi level = 6.12 states/eV per cell
volume = 145 Å³/f.u.


[4]
Compound: KTlPd4Se2
Source: the Alexandria database
Functional: PBE-GGA
Structure: relaxed

Cell: 4.1662 4.1662 10.4299 Å, 90.00 90.00 90.00°
Fractional positions:
Pd  0.5000  0.0000  0.8112
Pd  0.0000  0.5000  0.8112
Pd  0.0000  0.5000  0.1888
Pd  0.5000  0.0000  0.1888
Se  0.5000  0.5000  0.3198
Se  0.5000  0.5000  0.6802
K  0.0000  0.0000  0.5000
Tl  0.0000  0.0000  0.0000

## Properties
electronic total energy = -4.29 eV/atom
density of states at the Fermi level = 5.27 states/eV per cell
volume = 181 Å³/f.u.


[5]
Compound: K3U2PdSe6
Source: the Alexandria database
Functional: PBE-GGA
Structure: relaxed

Cell: 7.1739 7.1739 8.0301 Å, 98.44 98.44 120.09°
Fractional positions:
Se  0.5886  0.9323  0.7957
Se  0.7264  0.7264  0.2002
Se  0.9323  0.5886  0.7957
Se  0.0677  0.4114  0.2043
Se  0.4114  0.0677  0.2043
Se  0.2736  0.2736  0.7998
U  0.6672  0.3328  0.0000
U  0.3328  0.6672  0.0000
K  0.1604  0.8396  0.5000
K  0.5000  0.5000  0.5000
K  0.8396  0.1604  0.5000
Pd  0.0000  0.0000  0.0000

## Properties
electronic total energy = -5.40 eV/atom
density of states at the Fermi level = 13.99 states/eV per cell
volume = 342 Å³/f.u.


[6]
Compound: K3U3PdSe8
Source: the Alexandria database
Functional: PBE-GGA
Structure: relaxed

Cell: 8.2409 8.0960 9.1046 Å, 115.55 90.00 120.59°
Fractional positions:
K  0.0000  0.0000  0.0000
K  0.0000  0.5000  0.0000
K  0.5000  0.5000  0.0000
U  0.5000  0.0000  0.5000
U  0.0000  0.5000  0.5000
U  0.5000  0.5000  0.5000
Se  0.7217  0.9620  0.7045
Se  0.7372  0.4744  0.7107
Se  0.2203  0.4406  0.6892
Se  0.7598  0.0380  0.2955
Se  0.2783  0.0380  0.2955
Se  0.2628  0.5256  0.2893
Se  0.2402  0.9620  0.7045
Se  0.7797  0.5594  0.3108
Pd  0.0000  0.0000  0.5000

## Properties
electronic total energy = -5.77 eV/atom
density of states at the Fermi level = 18.54 states/eV per cell
volume = 453 Å³/f.u.


[7]
Compound: K4U3PdSe8
Source: the Alexandria database
Functional: PBE-GGA
Structure: relaxed

Cell: 8.3044 9.0899 8.3065 Å, 117.17 119.99 90.00°
Fractional positions:
Se  0.7638  0.2976  0.0339
Se  0.7299  0.7024  0.9661
Se  0.2363  0.7025  0.4727
Se  0.2362  0.7024  0.9661
Se  0.7368  0.7106  0.4736
Se  0.7637  0.2975  0.5273
Se  0.2701  0.2976  0.0339
Se  0.2632  0.2894  0.5264
Pd  0.0000  0.5000  0.0000
K  0.5000  0.0000  0.0000
K  0.0000  0.0000  0.5000
K  0.0000  0.0000  0.0000
K  0.5000  0.0000  0.5000
U  0.5000  0.5000  0.0000
U  0.0000  0.5000  0.5000
U  0.5000  0.5000  0.5000

## Properties
electronic total energy = -5.57 eV/atom
density of states at the Fermi level = 17.52 states/eV per cell
volume = 461 Å³/f.u.


[8]
Compound: KUPdSe2
Source: the Alexandria database
Functional: PBE-GGA
Structure: relaxed

Cell: 4.8401 8.2376 7.4511 Å, 100.98 90.00 90.00°
Fractional positions:
Pd  0.0000  0.0000  0.5000
Pd  0.0000  0.0000  0.0000
U  0.5071  0.0000  0.7500
U  0.4929  0.0000  0.2500
K  0.1962  0.5000  0.7500
K  0.8038  0.5000  0.2500
Se  0.6994  0.7506  0.9511
Se  0.3006  0.7506  0.4511
Se  0.3006  0.2494  0.0489
Se  0.6994  0.2494  0.5489

## Properties
electronic total energy = -5.77 eV/atom
density of states at the Fermi level = 12.04 states/eV per cell
volume = 146 Å³/f.u.


What is the formula in the third record?
KTiPdSe3


What is the formula in the third record?
KTiPdSe3


Look up the electronic total energy of the second one.
-5.32 eV/atom